Material: HgTe2Mo
Method: DFT, PBE-GGA
State: relaxed

The value obtained for the density of states at the Fermi level is 2.97 states/eV/cell. Its total energy is -3.696 eV/atom. The volume is 95.8 Å³/cell. The value obtained for the raw formation energy is 0.659 eV/atom.

The space group is P4/mmm (No. 123) and the conventional cell measures 5.1968, 5.1968 and 3.5479 Å, with angles of 90.00, 90.00 and 90.00 degrees. Symmetry generates all atoms from Hg at (0.0000, 0.0000, 0.0000), Te at (0.0000, 0.5000, 0.5000) and Mo at (0.5000, 0.5000, 0.0000).

***

Material: HgTeMo
Method: DFT, PBE-GGA
State: relaxed

The value obtained for the density of states at the Fermi level is 1.28 states/eV/cell. Its total energy is -4.512 eV/atom. The volume is 69.4 Å³/cell. The value obtained for the raw formation energy is 0.246 eV/atom.

The space group is P3m1 (No. 156) and the conventional cell measures 3.3440, 3.3440 and 7.1693 Å, with angles of 90.00, 90.00 and 120.00 degrees. Symmetry generates all atoms from Hg at (0.0000, 0.0000, 0.0000), Te at (0.3333, 0.6667, 0.5686) and Mo at (0.6667, 0.3333, 0.3122).

***

Material: HgTe2Mo
Method: DFT, PBE-GGA
State: relaxed

The value obtained for the density of states at the Fermi level is 3.08 states/eV/cell. Its total energy is -4.085 eV/atom. The volume is 130.0 Å³/cell. The value obtained for the raw formation energy is 0.269 eV/atom.

The space group is Pm (No. 6) and the conventional cell measures 4.6405, 4.3757 and 6.4005 Å, with angles of 90.00, 90.71 and 90.00 degrees. Symmetry generates all atoms from Hg at (0.0000, 0.0000, 0.0000), Te at (0.0100, 0.0000, 0.5428), Te at (0.5021, 0.5000, 0.1075) and Mo at (0.0056, 0.5000, 0.3154).

***

Material: HgTe2Mo
Method: DFT, PBE-GGA
State: relaxed

The value obtained for the density of states at the Fermi level is 3.39 states/eV/cell. Its total energy is -3.586 eV/atom. The volume is 95.0 Å³/cell. The value obtained for the raw formation energy is 0.768 eV/atom.

The space group is Pmmm (No. 47) and the conventional cell measures 3.7171, 4.9948 and 5.1183 Å, with angles of 90.00, 90.00 and 90.00 degrees. Symmetry generates all atoms from Hg at (0.0000, 0.0000, 0.0000), Te at (0.0000, 0.5000, 0.5000), Te at (0.5000, 0.5000, 0.0000) and Mo at (0.5000, 0.0000, 0.5000).

***

Material: HgTe2Mo
Method: DFT, PBE-GGA
State: relaxed

The value obtained for the density of states at the Fermi level is 4.26 states/eV/cell. Its total energy is -3.689 eV/atom. The volume is 220.0 Å³/cell. The value obtained for the raw formation energy is 0.665 eV/atom.

The space group is I-4m2 (No. 119) and the conventional cell measures 4.1002, 4.1002 and 13.0872 Å, with angles of 90.00, 90.00 and 90.00 degrees. Symmetry generates all atoms from Hg at (0.0000, 0.0000, 0.0000), Te at (0.0000, 0.0000, 0.5000), Te at (0.0000, 0.5000, 0.2500) and Mo at (0.0000, 0.5000, 0.7500).

***

Material: HgTe2Mo
Method: DFT, PBE-GGA
State: relaxed

The value obtained for the density of states at the Fermi level is 1.85 states/eV/cell. Its total energy is -4.434 eV/atom. The volume is 222.9 Å³/cell. The value obtained for the raw formation energy is -0.080 eV/atom.

The space group is C2/m (No. 12) and the conventional cell measures 6.0668, 3.5023 and 10.6688 Å, with angles of 90.00, 100.53 and 90.00 degrees. Symmetry generates all atoms from Hg at (0.0000, 0.0000, 0.0000), Te at (0.2236, 0.0000, 0.6777) and Mo at (0.0000, 0.5000, 0.5000).